# 1
Re2AsOsF, relaxed, DFT PBE; calculated total energy = -35.738 eV per cell; ΔE_f (raw) = 1.38 eV/atom; space-group type = P4/mmm, No. 123; magnetization = 1.03 μB per cell
1.0
-1.0672 3.4514 1.8285
-2.2222 -2.3739 3.1838
3.3684 -0.1463 2.2420
Re As Os F
2 1 1 1
Cartesian
1.6842 -0.0731 1.1210 Re
-0.5336 1.7257 0.9143 Re
-1.1111 -1.1869 1.5919 As
0.0395 0.4656 3.6272 Os
0.0000 0.0000 0.0000 F


# 2
AsOsSe2F, relaxed, DFT PBE; calculated total energy = -19.578 eV per cell; excess energy over the best structure of this formula in the dataset = 60.2 kJ/mol of atoms; ΔE_f (raw) = 1.03 eV/atom; space-group type = P4/mmm, No. 123; magnetization = 0.00 μB per cell
1.0
-4.0968 0.6518 -2.0034
-1.9896 -2.6376 3.2105
-0.6221 3.3407 2.3590
As Os Se F
1 1 2 1
Cartesian
-0.3110 1.6703 1.1795 As
-3.3543 0.6775 1.7831 Os
-0.9948 -1.3188 1.6052 Se
-2.0484 0.3259 -1.0017 Se
0.0000 0.0000 0.0000 F


# 3
AsOsSe2F, relaxed, DFT PBE; calculated total energy = -22.699 eV per cell; excess energy over the best structure of this formula in the dataset = 0.0 kJ/mol of atoms; ΔE_f (raw) = 0.40 eV/atom; space-group type = P4/mmm, No. 123; magnetization = 0.00 μB per cell
1.0
4.8770 0.0000 0.0000
0.0000 4.8770 0.0000
0.0000 0.0000 4.7879
As Os Se F
1 1 2 1
Cartesian
0.0000 0.0000 2.3939 As
0.0000 0.0000 0.0000 Os
0.0000 2.4385 0.0000 Se
2.4385 0.0000 0.0000 Se
2.4385 2.4385 2.3939 F


# 4
AsPF3, relaxed, DFT PBE; calculated total energy = -19.121 eV per cell; excess energy over the best structure of this formula in the dataset = 0.0 kJ/mol of atoms; ΔE_f (raw) = -0.69 eV/atom; space-group type = Pm-3m, No. 221; magnetization = 2.96 μB per cell
1.0
4.2878 0.0000 0.0000
0.0000 4.2878 0.0000
0.0000 0.0000 4.2878
As P F
1 1 3
Cartesian
2.1439 2.1439 2.1439 As
0.0000 0.0000 0.0000 P
0.0000 2.1439 2.1439 F
2.1439 0.0000 2.1439 F
2.1439 2.1439 0.0000 F


# 5
As2PF, relaxed, DFT PBE; calculated total energy = -35.509 eV per cell; excess energy over the best structure of this formula in the dataset = 0.0 kJ/mol of atoms; ΔE_f (raw) = -0.29 eV/atom; space-group type = I-42d, No. 122; magnetization = 0.00 μB per cell
1.0
6.8052 0.0000 0.0000
0.0000 6.8052 0.0000
3.4026 3.4026 2.9363
P As F
2 4 2
Cartesian
0.0000 0.0000 0.0000 P
6.8052 3.4026 1.4682 P
5.2412 1.7013 0.7341 As
1.5640 5.1039 0.7341 As
5.1039 4.9666 2.2022 As
8.5065 8.6438 2.2022 As
3.4026 3.4026 0.0000 F
3.4026 6.8052 1.4682 F


# 6
As2PF, relaxed, DFT PBE; calculated total energy = -17.065 eV per cell; excess energy over the best structure of this formula in the dataset = 16.6 kJ/mol of atoms; ΔE_f (raw) = -0.12 eV/atom; space-group type = Fm-3m, No. 225; magnetization = 0.00 μB per cell
1.0
-3.1040 0.1284 3.1204
-1.6287 3.8696 1.3274
-4.1266 1.1266 -1.0445
P As F
1 2 1
Cartesian
-4.4297 2.5623 1.7017 P
-2.2148 1.2812 0.8508 As
-6.6445 3.8435 2.5525 As
0.0000 0.0000 0.0000 F


# 7
AsP3F, relaxed, DFT PBE; calculated total energy = -17.958 eV per cell; excess energy over the best structure of this formula in the dataset = 10.7 kJ/mol of atoms; ΔE_f (raw) = 0.96 eV/atom; space-group type = Pm-3m, No. 221; magnetization = 0.00 μB per cell
1.0
-0.1858 4.3231 -1.8781
-3.1937 -1.4978 -3.1317
-3.4665 1.1482 2.9860
P As F
3 1 1
Cartesian
-1.5969 -0.7489 -1.5659 P
-1.7332 0.5741 1.4930 P
-0.0929 2.1615 -0.9390 P
0.0000 0.0000 0.0000 As
-3.4230 1.9868 -1.0119 F


# 8
AsP2F, relaxed, DFT PBE; calculated total energy = -37.138 eV per cell; excess energy over the best structure of this formula in the dataset = 0.0 kJ/mol of atoms; ΔE_f (raw) = -0.31 eV/atom; space-group type = I-42d, No. 122; magnetization = 0.00 μB per cell
1.0
-2.1215 -5.2486 6.2108
0.0307 -6.4238 -5.4181
0.9315 -6.1632 0.7953
P As F
4 2 2
Cartesian
-1.2249 -5.9598 3.8005 P
0.1226 -5.8761 -2.8084 P
-0.0874 -8.5887 1.2402 P
-1.1288 -15.2465 0.9435 P
0.0000 0.0000 0.0000 As
-1.1177 -8.6240 3.7012 As
-1.0454 -5.8362 0.3963 F
-0.0416 -9.2116 -2.1132 F


# 9
As3PF, relaxed, DFT PBE; calculated total energy = -18.781 eV per cell; excess energy over the best structure of this formula in the dataset = 0.0 kJ/mol of atoms; ΔE_f (raw) = 0.49 eV/atom; space-group type = Pm-3m, No. 221; magnetization = 0.00 μB per cell
1.0
-2.9224 -0.8720 -3.6241
-0.2384 -4.5519 1.2875
-3.7199 0.9768 2.7646
P As F
1 3 1
Cartesian
0.0000 0.0000 0.0000 P
-0.1192 -2.2760 0.6438 As
-1.8599 0.4884 1.3823 As
-1.4612 -0.4360 -1.8120 As
-3.4403 -2.2236 0.2140 F


# 10
AsP3F, relaxed, DFT PBE; calculated total energy = -18.512 eV per cell; excess energy over the best structure of this formula in the dataset = 0.0 kJ/mol of atoms; ΔE_f (raw) = 0.85 eV/atom; space-group type = Pm-3m, No. 221; magnetization = 0.00 μB per cell
1.0
4.3839 0.0000 0.0000
0.0000 4.3839 0.0000
0.0000 0.0000 4.3839
P As F
3 1 1
Cartesian
0.0000 2.1919 0.0000 P
0.0000 0.0000 2.1919 P
2.1919 0.0000 0.0000 P
2.1919 2.1919 2.1919 As
0.0000 0.0000 0.0000 F


# 11
AsPF3, relaxed, DFT PBE; calculated total energy = -18.324 eV per cell; excess energy over the best structure of this formula in the dataset = 15.4 kJ/mol of atoms; ΔE_f (raw) = -0.53 eV/atom; space-group type = Pm-3m, No. 221; magnetization = 2.56 μB per cell
1.0
4.2341 0.0000 0.0000
0.0000 4.2341 0.0000
0.0000 0.0000 4.2341
P As F
1 1 3
Cartesian
0.0000 0.0000 0.0000 P
2.1171 2.1171 2.1171 As
0.0000 2.1171 0.0000 F
0.0000 0.0000 2.1171 F
2.1171 0.0000 0.0000 F


# 12
As3PF, relaxed, DFT PBE; calculated total energy = -18.142 eV per cell; excess energy over the best structure of this formula in the dataset = 12.3 kJ/mol of atoms; ΔE_f (raw) = 0.62 eV/atom; space-group type = Pm-3m, No. 221; magnetization = 0.00 μB per cell
1.0
4.5494 0.0000 0.0000
0.0000 4.5494 0.0000
0.0000 0.0000 4.5494
P As F
1 3 1
Cartesian
2.2747 2.2747 2.2747 P
0.0000 2.2747 0.0000 As
0.0000 0.0000 2.2747 As
2.2747 0.0000 0.0000 As
0.0000 0.0000 0.0000 F


# 13
AsP2F, relaxed, DFT PBE; calculated total energy = -16.924 eV per cell; excess energy over the best structure of this formula in the dataset = 39.7 kJ/mol of atoms; ΔE_f (raw) = 0.10 eV/atom; space-group type = Fm-3m, No. 225; magnetization = 0.00 μB per cell
1.0
4.0517 0.1986 1.5287
1.9249 3.8458 0.5451
0.7371 1.5078 3.9970
P As F
2 1 1
Cartesian
1.6785 1.3881 1.5177 P
5.0354 4.1642 4.5531 P
3.3569 2.7761 3.0354 As
0.0000 0.0000 0.0000 F


# 14
As2PSeF, relaxed, DFT PBE; calculated total energy = -17.861 eV per cell; excess energy over the best structure of this formula in the dataset = 0.0 kJ/mol of atoms; ΔE_f (raw) = 0.44 eV/atom; space-group type = P4/mmm, No. 123; magnetization = 0.00 μB per cell
1.0
4.7370 0.0000 0.0000
0.0000 4.7370 0.0000
0.0000 0.0000 4.7832
P As Se F
1 2 1 1
Cartesian
0.0000 0.0000 0.0000 P
0.0000 2.3685 0.0000 As
2.3685 0.0000 0.0000 As
0.0000 0.0000 2.3916 Se
2.3685 2.3685 2.3916 F


# 15
As2PSeF, relaxed, DFT PBE; calculated total energy = -16.915 eV per cell; excess energy over the best structure of this formula in the dataset = 18.3 kJ/mol of atoms; ΔE_f (raw) = 0.63 eV/atom; space-group type = P4/mmm, No. 123; magnetization = 0.00 μB per cell
1.0
-3.4212 0.3005 2.5711
-0.4052 -4.2708 -0.0401
3.1623 -0.3399 4.2475
P As Se F
1 2 1 1
Cartesian
-0.3320 -2.1551 3.3893 P
-0.2026 -2.1354 -0.0200 As
-1.7106 0.1502 1.2856 As
1.5811 -0.1700 2.1238 Se
0.0000 0.0000 0.0000 F


# 16
Pa2AsF4, relaxed, DFT PBE; calculated total energy = -102.419 eV per cell; ΔE_f (raw) = -2.87 eV/atom; space-group type = P4_2/mnm, No. 136; magnetization = 5.91 μB per cell
1.0
-0.3574 -2.8387 -2.5818
-4.6182 -3.6797 4.6853
-5.9163 3.5284 -3.0606
Pa As F
4 2 8
Cartesian
-5.6426 2.0088 -1.4275 Pa
-4.8919 -2.1600 3.0523 Pa
-7.6669 -1.5269 -0.1360 Pa
-3.2250 -1.4631 -0.8210 Pa
-0.1787 -1.4194 -1.2909 As
-5.2673 -0.0756 0.8124 As
-2.4023 0.8727 -0.6270 F
-8.1322 -1.0240 2.2517 F
-4.3995 0.0562 -2.3290 F
-6.4925 -3.0462 1.3720 F
-7.0444 0.0182 -1.9211 F
-3.8476 -3.0082 0.9641 F
-2.0764 -0.9370 1.3177 F
-8.4581 0.7858 0.3070 F


# 17
Pa2AsF, relaxed, DFT PBE; calculated total energy = -30.587 eV per cell; ΔE_f (raw) = -1.27 eV/atom; space-group type = R-3m, No. 166; magnetization = 0.00 μB per cell
1.0
-0.8381 -2.1662 -2.7418
2.3842 -2.4198 -1.1717
-2.5963 -7.2401 4.1591
As Pa F
1 2 1
Cartesian
-0.5251 -5.9131 0.1227 As
-1.7548 -5.6956 2.6816 Pa
0.7046 -6.1306 -2.4361 Pa
0.0000 0.0000 0.0000 F


# 18
AsPb2F, relaxed, DFT PBE; calculated total energy = -34.658 eV per cell; excess energy over the best structure of this formula in the dataset = 0.0 kJ/mol of atoms; ΔE_f (raw) = -0.85 eV/atom; space-group type = C2/m, No. 12; magnetization = 0.00 μB per cell
1.0
4.0894 0.0000 -1.2338
-0.3715 7.2807 -1.2313
-0.2168 -0.1261 6.6754
As Pb F
2 4 2
Cartesian
-0.1084 -0.0631 3.3377 As
1.7505 3.5773 2.1051 As
3.2632 4.5028 -0.2731 Pb
1.4054 0.8624 0.9591 Pb
2.0957 6.2922 3.2512 Pb
0.2379 2.6519 4.4834 Pb
2.7533 1.6941 5.4435 F
0.7478 5.4605 -1.2332 F


# 19
AsPb2F, relaxed, DFT PBE; calculated total energy = -16.905 eV per cell; excess energy over the best structure of this formula in the dataset = 10.2 kJ/mol of atoms; ΔE_f (raw) = -0.74 eV/atom; space-group type = Fm-3m, No. 225; magnetization = 0.00 μB per cell
1.0
3.9257 -2.9113 -1.3063
1.4638 -3.7798 3.0271
-0.7661 -4.8014 -1.3975
Pb As F
2 1 1
Cartesian
1.1558 -2.8731 0.0808 Pb
3.4675 -8.6194 0.2425 Pb
2.3117 -5.7463 0.1616 As
0.0000 0.0000 0.0000 F


# 20
AsPb2F, relaxed, DFT PBE; calculated total energy = -67.788 eV per cell; excess energy over the best structure of this formula in the dataset = 9.2 kJ/mol of atoms; ΔE_f (raw) = -0.75 eV/atom; space-group type = P2/c, No. 13; magnetization = 0.00 μB per cell
1.0
-4.6245 -1.1728 3.5985
3.4950 -4.1647 3.1342
4.5624 7.1093 8.1803
As Pb F
4 8 4
Cartesian
3.6814 1.8566 7.8501 As
-0.2486 -0.0849 7.0628 As
6.0617 1.9660 10.9447 As
-2.6288 -0.1942 3.9682 As
0.6075 5.4084 9.9784 Pb
2.8253 -3.6366 4.9345 Pb
1.0541 1.4158 9.2511 Pb
2.3787 0.3559 5.6618 Pb
-1.2612 -2.2886 5.5771 Pb
4.6940 4.0603 9.3358 Pb
1.3812 -2.2814 8.9753 Pb
2.0516 4.0532 5.9377 Pb
3.7718 -1.5379 6.3748 F
-0.3389 3.3097 8.5381 F
1.8610 -1.6340 3.8879 F
1.5719 3.4058 11.0250 F